A plane-wave DFT calculation with PBE was carried out for an optimized crystal structure of Pr2NdCd.

Properties
Crystal system = tetragonal
ΔE_f = -0.111 eV/atom

abc: 5.0177 5.0177 5.0082
angles: 90.00 90.00 90.00
Space group P4/mmm (No. 123)
One atom of each set of equivalent atoms:
Pr1 0.0000 0.5000 0.0000
Nd1 0.0000 0.0000 0.5000
Cd1 0.5000 0.5000 0.5000

***

A plane-wave DFT calculation with PBE was carried out for an optimized crystal structure of Fe2TeIr.

Properties
Crystal system = monoclinic

abc: 8.5115 3.0838 4.7712
angles: 90.00 100.65 90.00
Space group Cm (No. 8)
One atom of each set of equivalent atoms:
Fe1 0.0000 0.0000 0.0000
Fe2 0.2379 0.5000 0.1922
Te1 0.0009 0.5000 0.4698
Ir1 0.2569 0.0000 0.7429

***

In the order shown, the computed E values come out to -15.69 -55.27 eV for the cell shown.